No. 1
TlCuReSe3: optimized geometry, GGA-PBE.

Geometry as POSCAR:
```
TlCuReSe3
1.0
7.896 0.000 0.000
0.000 3.766 0.000
-3.938 0.000 9.164
Tl Cu Re Se
2 2 2 6
Cartesian
0.910 0.941 1.939 Tl
3.048 2.824 7.226 Tl
-0.157 0.941 8.125 Cu
4.115 2.824 1.039 Cu
-1.074 2.824 6.148 Re
5.032 0.941 3.017 Re
-1.227 2.824 3.548 Se
-1.724 2.824 8.562 Se
0.616 0.941 5.876 Se
3.342 2.824 3.288 Se
5.682 0.941 0.602 Se
5.185 0.941 5.616 Se
```

Properties
The value obtained for the excess energy over the best structure of this formula in the dataset is 0.00 eV/f.u.

***

No. 2
TlCuReSe3: optimized geometry, GGA-PBE.

Geometry as POSCAR:
```
TlCuReSe3
1.0
1.740 -7.700 0.000
1.740 7.700 0.000
0.000 0.000 9.668
Tl Cu Re Se
2 2 2 6
Cartesian
1.740 3.884 7.251 Tl
1.740 -3.884 2.417 Tl
1.740 0.657 2.417 Cu
1.740 -0.657 7.251 Cu
0.000 0.000 0.000 Re
0.000 0.000 4.834 Re
1.740 6.661 2.417 Se
1.740 1.854 0.360 Se
1.740 1.854 4.474 Se
1.740 -1.854 5.194 Se
1.740 -1.854 9.308 Se
1.740 -6.661 7.251 Se
```

Properties
The value obtained for the excess energy over the best structure of this formula in the dataset is 0.47 eV/f.u.

***

No. 3
CuRe3Si5: optimized geometry, GGA-PBE.

Geometry as POSCAR:
```
CuRe3Si5
1.0
5.245 0.000 0.000
-2.622 4.542 0.000
0.000 0.000 6.356
Cu Re Si
1 3 5
Cartesian
0.000 0.000 0.000 Cu
-1.311 2.271 3.178 Re
2.622 0.000 3.178 Re
1.311 2.271 3.178 Re
0.000 0.000 3.178 Si
0.000 3.028 1.155 Si
0.000 3.028 5.201 Si
2.622 1.514 1.155 Si
2.622 1.514 5.201 Si
```

Properties
The total energy is -0.5278 Ry/atom.

***

No. 4
Cu2ReSi: optimized geometry, GGA-PBE.

Geometry as POSCAR:
```
Cu2ReSi
1.0
0.000 2.937 2.937
2.937 0.000 2.937
2.937 2.937 0.000
Cu Re Si
2 1 1
Cartesian
0.000 0.000 0.000 Cu
1.469 1.469 1.469 Cu
4.406 4.406 4.406 Re
2.937 2.937 2.937 Si
```

Properties
The total energy is -0.4528 Ry/atom.

***

No. 5
CuReSiTc: optimized geometry, GGA-PBE.

Geometry as POSCAR:
```
CuReSiTc
1.0
0.000 3.002 3.002
3.002 0.000 3.002
3.002 3.002 0.000
Cu Re Si Tc
1 1 1 1
Cartesian
0.000 0.000 0.000 Cu
3.002 3.002 3.002 Re
4.502 4.502 4.502 Si
1.501 1.501 1.501 Tc
```

Properties
The value obtained for the excess energy over the best structure of this formula in the dataset is 0.00 eV/f.u.

***

No. 6
ZnCuReSi: optimized geometry, GGA-PBE.

Geometry as POSCAR:
```
ZnCuReSi
1.0
0.000 2.979 2.979
2.979 0.000 2.979
2.979 2.979 0.000
Zn Cu Re Si
1 1 1 1
Cartesian
0.000 0.000 0.000 Zn
4.469 4.469 4.469 Cu
1.490 1.490 1.490 Re
2.979 2.979 2.979 Si
```

Properties
The value obtained for the excess energy over the best structure of this formula in the dataset is 0.00 eV/f.u.

***

Number 1: calculated volume 22.71 Å³ per atom. Number 2: calculated volume 21.59 Å³ per atom. Number 3: calculated volume 16.82 Å³ per atom. Number 4: calculated volume 12.67 Å³ per atom. Number 5: calculated volume 13.52 Å³ per atom. Number 6: calculated volume 13.22 Å³ per atom.